one:
Material: VCu2Se4
Method: DFT, GGA-PBE
State: optimized geometry

The space group is P-42m (No. 111) and the conventional cell measures 5.573, 5.573 and 5.680 Å, with angles of 90.00, 90.00 and 90.00 degrees. The distinct sites, in fractional coordinates, are V at (0.000, 0.000, 0.000), Cu at (0.000, 0.500, 0.000) and Se at (0.235, 0.235, 0.245).

***

two:
Material: VCu2Se4
Method: DFT, GGA-PBE
State: optimized geometry

The space group is Imma (No. 74) and the conventional cell measures 6.901, 7.372 and 11.183 Å, with angles of 90.00, 90.00 and 90.00 degrees. The distinct sites, in fractional coordinates, are V at (0.250, 0.250, 0.250), Cu at (0.000, 0.000, 0.000), Cu at (0.000, 0.250, 0.610), Se at (0.000, 0.011, 0.261) and Se at (0.227, 0.250, 0.021).

***

Bottom line: one, by a margin of 78 meV/atom.

***

one:
Material: VCuSe
Method: DFT, GGA-PBE
State: optimized geometry

The space group is P4/nmm (No. 129, origin choice 2) and the conventional cell measures 3.271, 3.271 and 9.514 Å, with angles of 90.00, 90.00 and 90.00 degrees. The distinct sites, in fractional coordinates, are V at (0.250, 0.250, 0.218), Cu at (0.250, 0.250, 0.945) and Se at (0.250, 0.250, 0.671).

***

two:
Material: VCuSe
Method: DFT, GGA-PBE
State: optimized geometry

The space group is P4/nmm (No. 129, origin choice 2) and the conventional cell measures 3.870, 3.870 and 6.071 Å, with angles of 90.00, 90.00 and 90.00 degrees. The distinct sites, in fractional coordinates, are V at (0.250, 0.750, 0.000), Cu at (0.250, 0.250, 0.305) and Se at (0.250, 0.250, 0.720).

***

Bottom line: one, by a margin of 29 meV/atom.

***

one:
Material: VCuSe3
Method: DFT, GGA-PBE
State: optimized geometry

The space group is Pm-3m (No. 221) and the conventional cell measures 4.813, 4.813 and 4.813 Å, with angles of 90.00, 90.00 and 90.00 degrees. The distinct sites, in fractional coordinates, are V at (0.000, 0.000, 0.000), Cu at (0.500, 0.500, 0.500) and Se at (0.000, 0.000, 0.500).

***

two:
Material: VCuSe3
Method: DFT, GGA-PBE
State: optimized geometry

The space group is P2_1/m (No. 11) and the conventional cell measures 6.361, 3.452 and 10.020 Å, with angles of 90.00, 92.35 and 90.00 degrees. The distinct sites, in fractional coordinates, are V at (0.227, 0.250, 0.043), Cu at (0.060, 0.250, 0.598), Se at (0.007, 0.750, 0.159), Se at (0.281, 0.750, 0.522) and Se at (0.483, 0.750, 0.130).

***

Bottom line: two, by a margin of 601 meV/atom.

***

one:
Material: Cu2WSe4
Method: DFT, GGA-PBE
State: optimized geometry

The space group is P-42m (No. 111) and the conventional cell measures 5.626, 5.626 and 5.356 Å, with angles of 90.00, 90.00 and 90.00 degrees. The distinct sites, in fractional coordinates, are Cu at (0.000, 0.500, 0.000), W at (0.000, 0.000, 0.500) and Se at (0.251, 0.251, 0.263).

***

two:
Material: Cu2WSe4
Method: DFT, GGA-PBE
State: optimized geometry

The space group is P-42m (No. 111) and the conventional cell measures 5.606, 5.606 and 6.083 Å, with angles of 90.00, 90.00 and 90.00 degrees. The distinct sites, in fractional coordinates, are Cu at (0.000, 0.500, 0.000), W at (0.000, 0.000, 0.000) and Se at (0.241, 0.241, 0.765).

***

Bottom line: two, by a margin of 187 meV/atom.

***

one:
Material: YCuSe
Method: DFT, GGA-PBE
State: optimized geometry

The space group is I4mm (No. 107) and the conventional cell measures 3.619, 3.619 and 9.361 Å, with angles of 90.00, 90.00 and 90.00 degrees. The distinct sites, in fractional coordinates, are Y at (0.000, 0.000, 0.000), Cu at (0.000, 0.000, 0.669) and Se at (0.000, 0.000, 0.321).

***

two:
Material: YCuSe
Method: DFT, GGA-PBE
State: optimized geometry

The space group is F-43m (No. 216) and the conventional cell measures 6.697, 6.697 and 6.697 Å, with angles of 90.00, 90.00 and 90.00 degrees. The distinct sites, in fractional coordinates, are Y at (0.000, 0.000, 0.000), Cu at (0.250, 0.250, 0.250) and Se at (0.250, 0.250, 0.750).

***

Bottom line: one, by a margin of 31 meV/atom.

***

one:
Material: YCuSe
Method: DFT, GGA-PBE
State: optimized geometry

The space group is R-3m (No. 166, hexagonal axes) and the conventional cell measures 4.3003, 4.3003 and 29.1540 Å, with angles of 90.00, 90.00 and 120.00 degrees. The distinct sites, in fractional coordinates, are Y at (0.0000, 0.0000, 0.0649), Cu at (0.0000, 0.0000, 0.3288) and Se at (0.0000, 0.0000, 0.2259).

***

two:
Material: YCuSe
Method: DFT, GGA-PBE
State: optimized geometry

The space group is F-43m (No. 216) and the conventional cell measures 6.426, 6.426 and 6.426 Å, with angles of 90.00, 90.00 and 90.00 degrees. The distinct sites, in fractional coordinates, are Y at (0.000, 0.000, 0.000), Cu at (0.250, 0.250, 0.750) and Se at (0.000, 0.000, 0.500).

***

Bottom line: one, by a margin of 494 meV/atom.

***

one:
Material: Y2Cu2Se
Method: DFT, GGA-PBE
State: optimized geometry

The space group is R-3m (No. 166, hexagonal axes) and the conventional cell measures 4.0956, 4.0956 and 22.0576 Å, with angles of 90.00, 90.00 and 120.00 degrees. The distinct sites, in fractional coordinates, are Y at (0.0000, 0.0000, 0.0854), Cu at (0.0000, 0.0000, 0.3313) and Se at (0.0000, 0.0000, 0.5000).

***

two:
Material: Y2Cu2Se
Method: DFT, GGA-PBE
State: optimized geometry

The space group is P4/mbm (No. 127) and the conventional cell measures 7.415, 7.415 and 3.811 Å, with angles of 90.00, 90.00 and 90.00 degrees. The distinct sites, in fractional coordinates, are Y at (0.173, 0.327, 0.000), Cu at (0.117, 0.617, 0.500) and Se at (0.000, 0.000, 0.500).

***

Bottom line: one, by a margin of 326 meV/atom.

***

one:
Material: YCuSe3
Method: DFT, GGA-PBE
State: optimized geometry

The space group is Pm-3m (No. 221) and the conventional cell measures 5.459, 5.459 and 5.459 Å, with angles of 90.00, 90.00 and 90.00 degrees. The distinct sites, in fractional coordinates, are Y at (0.000, 0.000, 0.000), Cu at (0.500, 0.500, 0.500) and Se at (0.000, 0.000, 0.500).

***

two:
Material: YCuSe3
Method: DFT, GGA-PBE
State: optimized geometry

The space group is Pm-3m (No. 221) and the conventional cell measures 4.809, 4.809 and 4.809 Å, with angles of 90.00, 90.00 and 90.00 degrees. The distinct sites, in fractional coordinates, are Y at (0.000, 0.000, 0.000), Cu at (0.500, 0.500, 0.500) and Se at (0.000, 0.500, 0.500).

***

Bottom line: two, by a margin of 527 meV/atom.

***

one:
Material: Zn3CuSe
Method: DFT, GGA-PBE
State: optimized geometry

The space group is Pm-3m (No. 221) and the conventional cell measures 4.964, 4.964 and 4.964 Å, with angles of 90.00, 90.00 and 90.00 degrees. The distinct sites, in fractional coordinates, are Zn at (0.000, 0.000, 0.500), Cu at (0.500, 0.500, 0.500) and Se at (0.000, 0.000, 0.000).

***

two:
Material: Zn3CuSe
Method: DFT, GGA-PBE
State: optimized geometry

The space group is Pm-3m (No. 221) and the conventional cell measures 4.645, 4.645 and 4.645 Å, with angles of 90.00, 90.00 and 90.00 degrees. The distinct sites, in fractional coordinates, are Zn at (0.000, 0.000, 0.500), Cu at (0.000, 0.000, 0.000) and Se at (0.500, 0.500, 0.500).

***

Bottom line: two, by a margin of 404 meV/atom.

***

one:
Material: Zr2CuSe2
Method: DFT, GGA-PBE
State: optimized geometry

The space group is P4/mbm (No. 127) and the conventional cell measures 7.458, 7.458 and 3.426 Å, with angles of 90.00, 90.00 and 90.00 degrees. The distinct sites, in fractional coordinates, are Zr at (0.152, 0.348, 0.000), Cu at (0.000, 0.000, 0.500) and Se at (0.144, 0.644, 0.500).

***

two:
Material: Zr2CuSe2
Method: DFT, GGA-PBE
State: optimized geometry

The space group is P4/mbm (No. 127) and the conventional cell measures 7.408, 7.408 and 3.560 Å, with angles of 90.00, 90.00 and 90.00 degrees. The distinct sites, in fractional coordinates, are Zr at (0.151, 0.349, 0.000), Cu at (0.000, 0.000, 0.000) and Se at (0.145, 0.645, 0.500).

***

Bottom line: two, by a margin of 84 meV/atom.

***

one:
Material: ZrCuSe3
Method: DFT, GGA-PBE
State: optimized geometry

The space group is Pmc2_1 (No. 26) and the conventional cell measures 3.723, 8.226 and 7.311 Å, with angles of 90.00, 90.00 and 90.00 degrees. The distinct sites, in fractional coordinates, are Zr at (0.000, 0.101, 0.000), Cu at (0.500, 0.402, 0.667), Se at (0.000, 0.220, 0.643), Se at (0.500, 0.086, 0.292) and Se at (0.500, 0.356, 0.998).

***

two:
Material: ZrCuSe3
Method: DFT, GGA-PBE
State: optimized geometry

The space group is Pm-3m (No. 221) and the conventional cell measures 5.214, 5.214 and 5.214 Å, with angles of 90.00, 90.00 and 90.00 degrees. The distinct sites, in fractional coordinates, are Zr at (0.000, 0.000, 0.000), Cu at (0.500, 0.500, 0.500) and Se at (0.000, 0.000, 0.500).

***

Bottom line: one, by a margin of 676 meV/atom.

***

one:
Material: ZrCu3Se
Method: DFT, GGA-PBE
State: optimized geometry

The space group is Pm-3m (No. 221) and the conventional cell measures 4.911, 4.911 and 4.911 Å, with angles of 90.00, 90.00 and 90.00 degrees. The distinct sites, in fractional coordinates, are Zr at (0.000, 0.000, 0.000), Cu at (0.000, 0.000, 0.500) and Se at (0.500, 0.500, 0.500).

***

two:
Material: ZrCu3Se
Method: DFT, GGA-PBE
State: optimized geometry

The space group is Pm-3m (No. 221) and the conventional cell measures 4.516, 4.516 and 4.516 Å, with angles of 90.00, 90.00 and 90.00 degrees. The distinct sites, in fractional coordinates, are Zr at (0.000, 0.000, 0.000), Cu at (0.000, 0.500, 0.500) and Se at (0.500, 0.500, 0.500).

***

Bottom line: two, by a margin of 808 meV/atom.

***

one:
Material: Zr2Cu2Se
Method: DFT, GGA-PBE
State: optimized geometry

The space group is P4/mbm (No. 127) and the conventional cell measures 7.057, 7.057 and 3.873 Å, with angles of 90.00, 90.00 and 90.00 degrees. The distinct sites, in fractional coordinates, are Zr at (0.167, 0.333, 0.000), Cu at (0.123, 0.623, 0.500) and Se at (0.000, 0.000, 0.000).

***

two:
Material: Zr2Cu2Se
Method: DFT, GGA-PBE
State: optimized geometry

The space group is I4/mmm (No. 139) and the conventional cell measures 3.385, 3.385 and 15.622 Å, with angles of 90.00, 90.00 and 90.00 degrees. The distinct sites, in fractional coordinates, are Zr at (0.000, 0.000, 0.104), Cu at (0.000, 0.500, 0.250) and Se at (0.000, 0.000, 0.500).

***

Bottom line: two, by a margin of 10 meV/atom.